Entry 1:
Density functional theory data (PBE) for a geometry-optimized Sm4BNCl2 structure.

Cell: 3.7852 6.4469 7.3632 Å, 107.66 90.00 90.00°
Positions (direct):
1 Cl 0.5000 0.0000 0.5000
2 Cl 0.0000 0.5000 0.5000
3 N 0.0000 0.0000 0.0000
4 Sm 0.5000 0.7753 0.8098
5 Sm 0.0000 0.7418 0.1953
6 Sm 0.0000 0.2582 0.8047
7 Sm 0.5000 0.2247 0.1902
8 B 0.5000 0.5000 0.0000

Output
Fermi-level density of states (states/eV/cell): 3.42
Symmetry: P2/m, No. 10
Energy relative to the elements, uncorrected (eV/atom): -1.243



Entry 2:
Density functional theory data (PBE) for a geometry-optimized Lu2NbAl structure.

Cell: 3.1507 3.1507 10.9803 Å, 81.75 81.75 60.00°
Site moments in Bohr magnetons follow the coordinates.
Positions (direct):
1 Lu 0.0913 0.0913 0.7262  0.08
2 Lu 0.9087 0.9087 0.2738  0.08
3 Nb 0.0000 0.0000 0.0000  0.51
4 Al 0.5000 0.5000 0.5000  0.00

Output
Formation energy (eV/atom): 0.381
Fermi-level density of states (states/eV/cell): 5.83
Energy above the most stable polymorph in this dataset (meV/atom): 438
Symmetry: R-3m, No. 166



Entry 3:
Density functional theory data (PBE) for a geometry-optimized NaPdI2 structure.

Cell: 4.3760 4.3760 9.1086 Å, 76.10 76.10 60.00°
Site moments in Bohr magnetons follow the coordinates.
Positions (direct):
1 I 0.8896 0.8896 0.3311  0.09
2 I 0.1104 0.1104 0.6689  0.09
3 Pd 0.5000 0.5000 0.5000  0.39
4 Na 0.0000 0.0000 0.0000  0.00

Output
Fermi-level density of states (states/eV/cell): 5.06
Energy above the most stable polymorph in this dataset (meV/atom): 219
Symmetry: R-3m, No. 166
Energy relative to the elements, uncorrected (eV/atom): -0.271



Entry 4:
Density functional theory data (PBE) for a geometry-optimized LaRuAu3 structure.

Cell: 5.5152 5.5152 5.5152 Å, 90.00 90.00 90.00°
Site moments in Bohr magnetons follow the coordinates.
Positions (direct):
1 Ru 0.5000 0.5000 0.5000  2.63
2 Au 0.0000 0.5000 0.0000  0.01
3 Au 0.5000 0.0000 0.0000  0.00
4 Au 0.0000 0.0000 0.5000  0.04
5 La 0.0000 0.0000 0.0000  -0.03

Output
Formation energy (eV/atom): 1.241
Fermi-level density of states (states/eV/cell): 9.17
Energy above the most stable polymorph in this dataset (meV/atom): 1073
Symmetry: Pm-3m, No. 221



Entry 5:
Density functional theory data (PBE) for a geometry-optimized AcTm2Pt structure.

Cell: 3.5786 3.5786 8.9173 Å, 90.00 90.00 90.00°
Positions (direct):
1 Pt 0.5000 0.5000 0.0000
2 Ac 0.5000 0.5000 0.5000
3 Tm 0.0000 0.0000 0.8216
4 Tm 0.0000 0.0000 0.1784

Output
Formation energy (eV/atom): -0.615
Fermi-level density of states (states/eV/cell): 3.74
Energy above the most stable polymorph in this dataset (meV/atom): 0
Symmetry: P4/mmm, No. 123



Entry 6:
Density functional theory data (PBE) for a geometry-optimized Hf4Be2N structure.

Cell: 4.2202 4.2202 7.3128 Å, 73.23 73.23 90.00°
Positions (direct):
1 Hf 0.0000 0.5000 0.0000
2 Hf 0.8260 0.8260 0.3480
3 Hf 0.1740 0.1740 0.6520
4 Hf 0.5000 0.0000 0.0000
5 Be 0.3721 0.3721 0.2558
6 Be 0.6279 0.6279 0.7442
7 N 0.0000 0.0000 0.0000

Output
Fermi-level density of states (states/eV/cell): 4.03
Symmetry: I4/mmm, No. 139
Energy relative to the elements, uncorrected (eV/atom): -0.314



Entry 7:
Density functional theory data (PBE) for a geometry-optimized Na3Ho3HfSe8 structure.

Cell: 8.1236 8.1228 8.5011 Å, 118.55 90.00 120.00°
Positions (direct):
1 Se 0.2317 0.9876 0.7192
2 Se 0.7682 0.5364 0.2808
3 Se 0.2318 0.4636 0.7192
4 Se 0.2570 0.5139 0.2710
5 Se 0.7683 0.0124 0.2808
6 Se 0.2442 0.0124 0.2808
7 Se 0.7430 0.4861 0.7290
8 Se 0.7558 0.9876 0.7192
9 Hf 0.0000 0.0000 0.5000
10 Na 0.0000 0.0000 0.0000
11 Na 0.0000 0.5000 0.0000
12 Na 0.5000 0.5000 0.0000
13 Ho 0.5000 0.5000 0.5000
14 Ho 0.5000 0.0000 0.5000
15 Ho 0.0000 0.5000 0.5000

Output
Symmetry: R-3m, No. 166
Energy relative to the elements, uncorrected (eV/atom): -1.629



Entry 8:
Density functional theory data (PBE) for a geometry-optimized Mn3Mo structure.

Cell: 2.5554 4.0831 4.8488 Å, 90.00 79.86 90.00°
Site moments in Bohr magnetons follow the coordinates.
Positions (direct):
1 Mo 0.7500 0.5000 0.7500  -0.33
2 Mn 0.5001 0.0000 0.4820  1.30
3 Mn 0.9999 0.0000 0.0180  1.30
4 Mn 0.2500 0.5000 0.2500  1.24

Output
Formation energy (eV/atom): 0.161
Fermi-level density of states (states/eV/cell): 6.27
Symmetry: P2/m, No. 10



Entry 9:
Density functional theory data (PBE) for a geometry-optimized BaNaSr2Ca structure.

Cell: 4.0849 9.9179 13.6566 Å, 110.38 90.00 90.00°
Positions (direct):
1 Ca 0.7500 0.8155 0.9583
2 Ca 0.2500 0.1845 0.0417
3 Sr 0.7500 0.5777 0.6449
4 Sr 0.2500 0.4223 0.3551
5 Sr 0.7500 0.5644 0.1404
6 Sr 0.2500 0.4356 0.8596
7 Na 0.2500 0.1973 0.5537
8 Na 0.7500 0.8027 0.4463
9 Ba 0.7500 0.0296 0.7538
10 Ba 0.2500 0.9704 0.2462

Output
Formation energy (eV/atom): 0.079
Fermi-level density of states (states/eV/cell): 11.78
Symmetry: P2_1/m, No. 11



Entry 10:
Density functional theory data (PBE) for a geometry-optimized CePuNiAu structure.

Cell: 4.7709 4.7709 4.7709 Å, 60.00 60.00 60.00°
Site moments in Bohr magnetons follow the coordinates.
Positions (direct):
1 Pu 0.0000 0.0000 0.0000  5.03
2 Ce 0.2500 0.2500 0.2500  0.50
3 Au 0.7500 0.7500 0.7500  -0.06
4 Ni 0.5000 0.5000 0.5000  -0.11

Output
Formation energy (eV/atom): -0.420
Fermi-level density of states (states/eV/cell): 4.39
Symmetry: F-43m, No. 216



Entry 11:
Density functional theory data (PBE) for a geometry-optimized TcHgF2 structure.

Cell: 4.4671 4.4671 4.4671 Å, 60.00 60.00 60.00°
Site moments in Bohr magnetons follow the coordinates.
Positions (direct):
1 F 0.2500 0.2500 0.2500  0.09
2 F 0.7500 0.7500 0.7500  0.09
3 Hg 0.5000 0.5000 0.5000  0.01
4 Tc 0.0000 0.0000 0.0000  3.84

Output
Fermi-level density of states (states/eV/cell): 2.67
Energy above the most stable polymorph in this dataset (meV/atom): 643
Symmetry: Fm-3m, No. 225
Energy relative to the elements, uncorrected (eV/atom): -0.345



Entry 12:
Density functional theory data (PBE) for a geometry-optimized CrAu2 structure.

Cell: 5.4816 5.4816 8.8934 Å, 90.00 90.00 120.00°
Site moments in Bohr magnetons follow the coordinates.
Positions (direct):
1 Au 0.8292 0.1708 0.2500  0.07
2 Au 0.1708 0.3416 0.7500  0.07
3 Au 0.3416 0.1708 0.2500  0.07
4 Au 0.0000 0.0000 0.5000  0.05
5 Au 0.6584 0.8292 0.7500  0.07
6 Au 0.1708 0.8292 0.7500  0.07
7 Au 0.8292 0.6584 0.2500  0.07
8 Au 0.0000 0.0000 0.0000  0.05
9 Cr 0.3333 0.6667 0.0574  3.96
10 Cr 0.3333 0.6667 0.4426  3.96
11 Cr 0.6667 0.3333 0.9426  3.96
12 Cr 0.6667 0.3333 0.5574  3.96

Output
Formation energy (eV/atom): 0.343
Fermi-level density of states (states/eV/cell): 5.59
Symmetry: P6_3/mmc, No. 194



Entry 13:
Density functional theory data (PBE) for a geometry-optimized Te4Pt structure.

Cell: 7.9758 7.0254 8.7250 Å, 46.41 62.80 55.41°
Positions (direct):
1 Te 0.0143 0.7973 0.4224
2 Te 0.7660 0.2973 0.9224
3 Te 0.9857 0.2027 0.5776
4 Te 0.4122 0.9173 0.3459
5 Te 0.3246 0.4173 0.8459
6 Te 0.5878 0.0827 0.6541
7 Te 0.6754 0.5827 0.1541
8 Te 0.2340 0.7027 0.0776
9 Pt 0.8362 0.7500 0.2500
10 Pt 0.1638 0.2500 0.7500

Output
Fermi-level density of states (states/eV/cell): 5.64
Energy above the most stable polymorph in this dataset (meV/atom): 0
Symmetry: C2/c, No. 15
Energy relative to the elements, uncorrected (eV/atom): -0.077